Ca2Ga3Cu4Sn | Alexandria via LeMat-Bulk | PBE | optimized geometry; Fermi-level density of states = 3.4 states/eV/cell; calculated total energy = -3.653 eV per atom
1.0
4.2257 0.0000 0.0000
0.0000 4.2257 0.0000
0.0000 0.0000 10.5311
Ca Ga Cu Sn
2 3 4 1
direct
0.0000 0.5000 0.2355
0.5000 0.0000 0.7645
0.0000 0.5000 0.8799
0.5000 0.0000 0.1201
0.5000 0.5000 0.5000
0.0000 0.0000 0.0000
0.0000 0.5000 0.6483
0.5000 0.0000 0.3517
0.5000 0.5000 0.0000
0.0000 0.0000 0.5000